Material: Cs2VFeF6
Method: DFT, PBE+U
State: relaxed

Unit cell a=6.193 b=6.193 c=8.554 alpha=90.00 beta=90.00 gamma=90.00
Space group I4/mmm (No. 139)
Inequivalent atoms, fractional coordinates:
Cs1 0.000 0.500 0.250 [4 per cell]
V1 0.000 0.000 0.000 [2 per cell]
Fe1 0.000 0.000 0.500 [2 per cell]
F1 0.000 0.000 0.259 [4 per cell]
F2 0.248 0.248 0.000 [8 per cell]

Results
Fermi-level density of states   0.0 states/eV/cell
E   -5.01 eV/atom
Theoretical density   4.93 g/cm³